VASP calculation (PBE) on crystalline BaTlMo at its relaxed geometry.

Crystal system: orthorhombic
Energy of formation (eV per atom): 0.852
Total energy (eV per cell): -12.6
Excess energy over the best structure of this formula in the dataset (eV per atom): 0.1023
Total magnetic moment (μB/f.u.): 0.00
DOS(E_F) (states/eV/cell): 3.4
Space-group type: Fmm2

a = 7.9614 Å, b = 7.9678 Å, c = 3.2217 Å
α = 78.22°, β = 78.44°, γ = 23.34°
Element x y z (fractional)
Ba: 0.9922 0.9922 0.0078
Tl: 0.6871 0.6871 0.3129
Mo: 0.3207 0.3207 0.6793



VASP calculation (PBE) on crystalline LaFePt2 at its relaxed geometry.

Crystal system: cubic
Energy of formation (eV per atom): -0.018
Total energy (eV per cell): -25.5
Excess energy over the best structure of this formula in the dataset (eV per atom): 0.6572
Total magnetic moment (μB/f.u.): 0.01
DOS(E_F) (states/eV/cell): 14.1
Space-group type: Fm-3m

a = 4.7559 Å, b = 4.7559 Å, c = 4.7559 Å
α = 60.00°, β = 60.00°, γ = 60.00°
Last column: magnetic moment on the atom in μB.
Element x y z (fractional)
Pt: 0.2500 0.2500 0.2500  -0.03
Fe: 0.0000 0.0000 0.0000  0.10
La: 0.5000 0.5000 0.5000  -0.01
Pt: 0.7500 0.7500 0.7500  -0.03



VASP calculation (PBE) on crystalline La2MnAl at its relaxed geometry.

Crystal system: trigonal
Energy of formation (eV per atom): 0.254
Total energy (eV per cell): -21.8
Total magnetic moment (μB/f.u.): 3.49
DOS(E_F) (states/eV/cell): 4.4
Space-group type: R-3m

a = 9.6463 Å, b = 9.6463 Å, c = 9.6463 Å
α = 22.24°, β = 22.24°, γ = 22.24°
Last column: magnetic moment on the atom in μB.
Element x y z (fractional)
Al: 0.7500 0.7500 0.7500  0.00
Mn: 0.2500 0.2500 0.2500  3.67
La: 0.9985 0.9985 0.9985  -0.08
La: 0.5015 0.5015 0.5015  -0.08



VASP calculation (PBE) on crystalline PmPu2ScTe4 at its relaxed geometry.

Crystal system: monoclinic
Total energy (eV per cell): -61.7
Total magnetic moment (μB/f.u.): 12.00
Raw formation energy (eV/atom): -1.17
DOS(E_F) (states/eV/cell): 22.6
Space-group type: P2/m

a = 4.3594 Å, b = 7.5564 Å, c = 7.6345 Å
α = 109.26°, β = 90.00°, γ = 90.00°
Last column: magnetic moment on the atom in μB.
Element x y z (fractional)
Te: 0.0000 0.7592 0.2464  0.04
Te: 0.5000 0.2358 0.2384  0.04
Pm: 0.5000 0.5000 0.0000  -0.04
Te: 0.5000 0.7642 0.7616  0.04
Sc: 0.0000 0.0000 0.0000  -0.10
Te: 0.0000 0.2408 0.7536  0.04
Pu: 0.0000 0.5000 0.5000  -5.62
Pu: 0.5000 0.0000 0.5000  -5.53